Record 1
## ZrScTc2 (GGA-PBE)

Data for ZrScTc2 after structural relaxation.

```
data_ZrScTc2
_symmetry_space_group_name_H-M 'P 1'
_symmetry_Int_Tables_number 1
_symmetry_space_group_name_Hall 'P 1'
_cell_length_a 2.823
_cell_length_b 4.897
_cell_length_c 10.648
_cell_angle_alpha 90.00
_cell_angle_beta 90.00
_cell_angle_gamma 90.00
loop_
_atom_site_label
_atom_site_fract_x
_atom_site_fract_y
_atom_site_fract_z
Zr1 0.000 0.000 0.000
Zr2 0.500 0.500 0.500
Sc1 0.000 0.000 0.500
Sc2 0.500 0.500 0.000
Tc1 0.000 0.000 0.253
Tc2 0.000 0.000 0.747
Tc3 0.500 0.500 0.247
Tc4 0.500 0.500 0.753
```

Values from the calculation:
Space group   Immm, No. 71
Calculated density   7.5 g cm⁻³
M_tot   0.00 μB per formula unit
Total energy   -8.26 eV/atom
DOS at the Fermi energy   1.32 states/eV per atom

Record 2
## ZrScTc2 (GGA-PBE)

Data for ZrScTc2 after structural relaxation.

```
data_ZrScTc2
_symmetry_space_group_name_H-M 'P 1'
_symmetry_Int_Tables_number 1
_symmetry_space_group_name_Hall 'P 1'
_cell_length_a 8.429
_cell_length_b 3.166
_cell_length_c 5.503
_cell_angle_alpha 90.00
_cell_angle_beta 102.19
_cell_angle_gamma 90.00
loop_
_atom_site_label
_atom_site_fract_x
_atom_site_fract_y
_atom_site_fract_z
Zr1 0.000 0.000 0.000
Zr2 0.500 0.500 0.000
Sc1 0.000 0.500 0.500
Sc2 0.500 0.000 0.500
Tc1 0.249 0.500 0.249
Tc2 0.251 0.000 0.751
Tc3 0.749 0.000 0.249
Tc4 0.751 0.500 0.751
```

Values from the calculation:
Space group   C2/m, No. 12
Calculated density   7.7 g cm⁻³
M_tot   0.00 μB per formula unit
Total energy   -8.85 eV/atom
DOS at the Fermi energy   1.02 states/eV per atom